1.
K4Th3RhS8: optimized geometry, PBE-GGA.

Summary:
- Total DFT energy (no corrections): -5.65 eV per atom
- Formation energy (no corrections): -1.46 eV per atom
- Crystal system: monoclinic
- Volume: 437.9 Å³/f.u.

```
K4Th3RhS8
1.0
7.470 -3.882 0.000
7.470 3.882 0.000
-4.465 0.000 7.550
K Th Rh S
4 3 1 8
Cartesian
0.000 0.000 0.000
3.735 1.941 0.000
3.735 -1.941 0.000
7.470 0.000 0.000
-2.232 0.000 3.775
1.503 1.941 3.775
1.503 -1.941 3.775
5.238 0.000 3.775
0.152 0.000 5.334
2.181 0.000 1.925
4.059 1.716 5.098
6.417 1.716 2.452
4.059 -1.716 5.098
6.417 -1.716 2.452
8.295 0.000 5.625
10.324 0.000 2.216
```

2.
K2U2RhS6: optimized geometry, PBE-GGA.

Summary:
- Total DFT energy (no corrections): -6.33 eV per atom
- Formation energy (no corrections): -1.16 eV per atom
- Crystal system: monoclinic
- Volume: 284.6 Å³/f.u.

```
K2U2RhS6
1.0
3.288 -5.626 0.000
3.288 5.626 0.000
-2.168 0.000 7.692
K U Rh S
2 2 1 6
Cartesian
3.288 3.739 0.000
3.288 -3.739 0.000
2.204 1.873 3.846
2.204 -1.873 3.846
-1.084 0.000 3.846
-0.016 1.803 5.345
0.992 0.000 2.359
-0.016 -1.803 5.345
4.424 1.803 2.347
3.416 0.000 5.333
4.424 -1.803 2.347
```

3.
KU2RhS4: optimized geometry, PBE-GGA.

Summary:
- Total DFT energy (no corrections): -7.19 eV per atom
- Formation energy (no corrections): -1.25 eV per atom
- Crystal system: orthorhombic
- Volume: 180.6 Å³/f.u.

```
KU2RhS4
1.0
1.961 -6.754 0.000
1.961 6.754 0.000
0.000 0.000 13.639
K U Rh S
2 4 2 8
Cartesian
1.961 5.295 10.229
1.961 -5.295 3.410
1.961 1.807 7.698
1.961 1.807 12.761
1.961 -1.807 0.878
1.961 -1.807 5.941
1.961 4.526 3.410
1.961 -4.526 10.229
0.000 0.000 0.000
0.000 0.000 6.819
1.961 3.169 1.452
1.961 3.169 5.367
1.961 0.928 10.229
1.961 -0.928 3.410
1.961 -3.169 8.272
1.961 -3.169 12.187
```

4.
K2URhS4: optimized geometry, PBE-GGA.

Summary:
- Total DFT energy (no corrections): -5.53 eV per atom
- Formation energy (no corrections): -0.86 eV per atom
- Crystal system: tetragonal
- Volume: 212.7 Å³/f.u.

```
K2URhS4
1.0
-3.665 3.665 3.960
3.665 -3.665 3.960
3.665 3.665 -3.960
K U Rh S
2 1 1 4
Cartesian
0.000 0.000 0.000
0.000 3.665 1.980
3.665 0.000 1.980
0.000 0.000 3.960
1.736 2.457 -0.527
4.872 1.736 0.527
1.929 1.208 3.432
-1.208 1.929 4.487
```

5.
KURhS4: optimized geometry, PBE-GGA.

Summary:
- Total DFT energy (no corrections): -6.14 eV per atom
- Formation energy (no corrections): -0.96 eV per atom
- Crystal system: monoclinic
- Volume: 162.3 Å³/f.u.

```
KURhS4
1.0
6.538 0.000 0.000
0.000 5.897 0.000
-2.401 0.000 8.420
K U Rh S
2 2 2 8
Cartesian
1.514 1.474 0.383
2.623 4.423 8.037
0.324 1.474 4.616
3.813 4.423 3.803
0.656 4.423 3.044
3.481 1.474 5.375
-1.488 3.027 5.919
-1.488 5.818 5.919
2.505 4.423 1.597
1.570 4.423 5.110
2.568 1.474 3.310
1.632 1.474 6.823
5.625 0.079 2.500
5.625 2.870 2.500
```

6.
K4U3RhS8: optimized geometry, PBE-GGA.

Summary:
- Total DFT energy (no corrections): -6.12 eV per atom
- Formation energy (no corrections): -1.21 eV per atom
- Crystal system: trigonal
- Volume: 398.3 Å³/f.u.

```
K4U3RhS8
1.0
3.927 2.267 7.454
-3.927 2.267 7.454
0.000 -4.535 7.454
K U Rh S
4 3 1 8
Cartesian
0.000 0.000 0.000
-1.964 -1.134 7.454
-1.964 1.134 14.907
0.000 2.267 7.454
-3.927 0.000 11.181
-1.964 1.134 3.727
1.964 1.134 3.727
0.000 0.000 11.181
0.000 0.000 5.281
-1.925 -1.112 12.657
0.000 -2.223 9.704
-1.925 1.112 9.704
1.925 -1.112 12.657
0.000 2.223 12.657
1.925 1.112 9.704
0.000 0.000 17.080
```